Version w
{"formula": "BaZr3S", "functional": "PBE", "state": "optimized geometry", "lattice": [[5.2994, 0.0000, 0.0000], [0.0000, 5.2994, 0.0000], [0.0000, 0.0000, 5.2994]], "species": ["Ba", "Zr", "Zr", "Zr", "S"], "frac_coords": [[0.0000, 0.0000, 0.0000], [0.0000, 0.0000, 0.5000], [0.0000, 0.5000, 0.0000], [0.5000, 0.0000, 0.0000], [0.5000, 0.5000, 0.5000]]}

=====

Version x
{"formula": "BaZr3S", "functional": "PBE", "state": "optimized geometry", "lattice": [[5.0749, 0.0000, 0.0000], [0.0000, 5.0749, 0.0000], [0.0000, 0.0000, 5.0749]], "species": ["Ba", "Zr", "Zr", "Zr", "S"], "frac_coords": [[0.0000, 0.0000, 0.0000], [0.0000, 0.5000, 0.5000], [0.5000, 0.0000, 0.5000], [0.5000, 0.5000, 0.0000], [0.5000, 0.5000, 0.5000]]}

=====

Short version: version x, version w, most stable first.